Entry 1:
A crystal of YCdPAu2 relaxed with PBEsol, computed with SCAN.

Cell lengths 5.254, 5.254, 5.851 Å; angles 90.00, 90.00, 90.00 degrees
Fractional positions:
1 Y 0.000 0.000 0.000
2 Cd 0.000 0.000 0.500
3 P 0.500 0.500 0.500
4 Au 0.000 0.500 0.000
5 Au 0.500 0.000 0.000

Output
ΔE_f ... 928 meV per atom
E_tot ... -202.329 eV/f.u.
Total magnetization ... 2.055 μB/f.u.
Crystal system ... tetragonal

Entry 2:
A crystal of PaCdAu2 relaxed with PBEsol, computed with SCAN.

Cell lengths 4.874, 4.874, 4.874 Å; angles 60.00, 60.00, 60.00 degrees
Fractional positions:
1 Pa 0.000 0.000 0.000
2 Cd 0.500 0.500 0.500
3 Au 0.250 0.250 0.250
4 Au 0.750 0.750 0.750

Output
ΔE_f ... -444 meV per atom
E_tot ... -270.171 eV/f.u.
Total magnetization ... 0.053 μB/f.u.
Crystal system ... cubic

Entry 3:
A crystal of CdPbAu relaxed with PBEsol, computed with SCAN.

Cell lengths 6.554, 6.554, 6.554 Å; angles 150.69, 150.69, 41.92 degrees
Fractional positions:
1 Cd 0.000 0.000 0.000
2 Pb 0.300 0.300 0.000
3 Au 0.633 0.633 0.000

Output
ΔE_f ... -44 meV per atom
E_tot ... -175.485 eV/f.u.
Total magnetization ... 0.000 μB/f.u.
Crystal system ... tetragonal

Entry 4:
A crystal of Cd3PbAu relaxed with PBEsol, computed with SCAN.

Cell lengths 5.154, 5.154, 5.154 Å; angles 90.00, 90.00, 90.00 degrees
Fractional positions:
1 Cd 0.000 0.000 0.500
2 Cd 0.000 0.500 0.000
3 Cd 0.500 0.000 0.000
4 Pb 0.500 0.500 0.500
5 Au 0.000 0.000 0.000

Output
ΔE_f ... 107 meV per atom
E_tot ... -235.647 eV/f.u.
Total magnetization ... 0.000 μB/f.u.
Crystal system ... cubic

Repeat the first record exactly.
A crystal of YCdPAu2 relaxed with PBEsol, computed with SCAN.

Cell lengths 5.254, 5.254, 5.851 Å; angles 90.00, 90.00, 90.00 degrees
Fractional positions:
1 Y 0.000 0.000 0.000
2 Cd 0.000 0.000 0.500
3 P 0.500 0.500 0.500
4 Au 0.000 0.500 0.000
5 Au 0.500 0.000 0.000

Output
ΔE_f ... 928 meV per atom
E_tot ... -202.329 eV/f.u.
Total magnetization ... 2.055 μB/f.u.
Crystal system ... tetragonal

Repeat the second record exactly.
A crystal of PaCdAu2 relaxed with PBEsol, computed with SCAN.

Cell lengths 4.874, 4.874, 4.874 Å; angles 60.00, 60.00, 60.00 degrees
Fractional positions:
1 Pa 0.000 0.000 0.000
2 Cd 0.500 0.500 0.500
3 Au 0.250 0.250 0.250
4 Au 0.750 0.750 0.750

Output
ΔE_f ... -444 meV per atom
E_tot ... -270.171 eV/f.u.
Total magnetization ... 0.053 μB/f.u.
Crystal system ... cubic

Question: Which of these has the highest E_tot?
Answer: CdPbAu